No. 1
RuPtCl2 SCAN single point on PBEsol structure; ΔE to the lowest computed polymorph = 0.453 eV per atom; ΔE_f (raw) = 977 meV/atom; space-group type = I4/mmm; M_tot = 2.70 μB per cell
1.0
-2.100 2.100 3.388
2.100 -2.100 3.388
2.100 2.100 -3.388
Ru Pt Cl
1 1 2
direct
0.000 0.000 0.000
0.500 0.500 0.000
0.250 0.750 0.500
0.750 0.250 0.500

---

No. 2
RuPtCl2 SCAN single point on PBEsol structure; ΔE to the lowest computed polymorph = 0.018 eV per atom; ΔE_f (raw) = 542 meV/atom; space-group type = R-3m; M_tot = 0.00 μB per cell
1.0
1.485 0.857 8.095
-1.485 0.857 8.095
0.000 -1.714 8.095
Ru Pt Cl
1 1 2
direct
0.000 0.000 0.000
0.500 0.500 0.500
0.263 0.263 0.263
0.737 0.737 0.737

---

No. 3
PtS2Cl6 SCAN single point on PBEsol structure; ΔE_f (raw) = -335 meV/atom; space-group type = P-1; M_tot = 0.00 μB per cell
1.0
4.546 0.000 0.000
-0.295 6.609 0.000
-0.833 -1.807 7.848
Pt S Cl
1 2 6
direct
0.000 0.000 0.000
0.292 0.229 0.206
0.708 0.771 0.794
0.073 0.495 0.218
0.244 0.174 0.438
0.298 0.129 0.830
0.702 0.871 0.170
0.756 0.826 0.562
0.927 0.505 0.782

---

No. 4
PtSCl2 SCAN single point on PBEsol structure; ΔE_f (raw) = 392 meV/atom; space-group type = R-3m; M_tot = 0.21 μB per cell
1.0
1.415 0.817 10.998
-1.415 0.817 10.998
0.000 -1.634 10.998
Pt S Cl
1 1 2
direct
0.000 0.000 0.000
0.500 0.500 0.500
0.068 0.068 0.068
0.932 0.932 0.932

---

No. 5
SbPtSCl2 SCAN single point on PBEsol structure; ΔE_f (raw) = 650 meV/atom; space-group type = P4/mmm; M_tot = 1.05 μB per cell
1.0
4.998 0.000 0.000
0.000 4.998 0.000
0.000 0.000 5.163
Sb Pt S Cl
1 1 1 2
direct
0.000 0.000 0.000
0.500 0.500 0.500
0.000 0.000 0.500
0.000 0.500 0.000
0.500 0.000 0.000

---

No. 6
TaPtSCl2 SCAN single point on PBEsol structure; ΔE to the lowest computed polymorph = 0.575 eV per atom; ΔE_f (raw) = 815 meV/atom; space-group type = P4/mmm; M_tot = 3.04 μB per cell
1.0
4.634 0.000 0.000
0.000 4.634 0.000
0.000 0.000 4.778
Ta Pt S Cl
1 1 1 2
direct
0.000 0.000 0.000
0.500 0.500 0.500
0.500 0.500 0.000
0.000 0.500 0.500
0.500 0.000 0.500

---

No. 7
TaPtSCl2 SCAN single point on PBEsol structure; ΔE to the lowest computed polymorph = 0.000 eV per atom; ΔE_f (raw) = 240 meV/atom; space-group type = P4/mmm; M_tot = 0.64 μB per cell
1.0
4.647 0.000 0.000
0.000 4.647 0.000
0.000 0.000 4.778
Ta Pt S Cl
1 1 1 2
direct
0.000 0.000 0.000
0.500 0.500 0.500
0.000 0.000 0.500
0.000 0.500 0.000
0.500 0.000 0.000

---

No. 8
TePtS2Cl SCAN single point on PBEsol structure; ΔE_f (raw) = 1066 meV/atom; space-group type = P4/mmm; M_tot = 1.33 μB per cell
1.0
4.988 0.000 0.000
0.000 4.988 0.000
0.000 0.000 4.916
Te Pt S Cl
1 1 2 1
direct
0.000 0.000 0.000
0.500 0.500 0.500
0.000 0.500 0.000
0.500 0.000 0.000
0.000 0.000 0.500

---

No. 9
TiPt2SCl SCAN single point on PBEsol structure; ΔE_f (raw) = 802 meV/atom; space-group type = P4/mmm; M_tot = 0.00 μB per cell
1.0
4.501 0.000 0.000
0.000 4.501 0.000
0.000 0.000 4.399
Ti Pt S Cl
1 2 1 1
direct
0.000 0.000 0.000
0.000 0.500 0.500
0.500 0.000 0.500
0.500 0.500 0.000
0.000 0.000 0.500

---

No. 10
ZrPtS2Cl SCAN single point on PBEsol structure; ΔE to the lowest computed polymorph = 0.104 eV per atom; ΔE_f (raw) = -53 meV/atom; space-group type = P4/mmm; M_tot = 1.19 μB per cell
1.0
4.669 0.000 0.000
0.000 4.669 0.000
0.000 0.000 4.566
Zr Pt S Cl
1 1 2 1
direct
0.000 0.000 0.000
0.500 0.500 0.500
0.000 0.500 0.500
0.500 0.000 0.500
0.500 0.500 0.000

---

No. 11
ZrPtS2Cl SCAN single point on PBEsol structure; ΔE to the lowest computed polymorph = 0.000 eV per atom; ΔE_f (raw) = -157 meV/atom; space-group type = P4/mmm; M_tot = 1.14 μB per cell
1.0
4.910 0.000 0.000
0.000 4.910 0.000
0.000 0.000 4.759
Zr Pt S Cl
1 1 2 1
direct
0.000 0.000 0.000
0.500 0.500 0.500
0.000 0.500 0.000
0.500 0.000 0.000
0.000 0.000 0.500

---

No. 12
SbPtCl2 SCAN single point on PBEsol structure; ΔE to the lowest computed polymorph = 0.083 eV per atom; ΔE_f (raw) = -445 meV/atom; space-group type = Pm; M_tot = 0.00 μB per cell
1.0
5.149 0.000 0.000
0.000 3.628 0.000
-1.407 0.000 4.966
Sb Pt Cl
1 1 2
direct
0.000 0.000 0.000
0.659 0.500 0.788
0.281 0.000 0.657
0.669 0.500 0.310